# Bi3Sb

A relaxed structure of Bi3Sb (PBE-GGA, Alexandria via LeMat-Bulk).

Lattice parameters (Å, degrees): 8.3948 8.3948 8.3948 31.38 31.38 31.38
Closest atoms and distances in Å follow each position.
Fractional coordinates of all 4 atoms:
Bi: 0.8859 0.8859 0.8859  3 Sb 3.04
Bi: 0.1162 0.1162 0.1162  3 Bi 3.09
Bi: 0.3810 0.3810 0.3810  3 Bi 3.09
Sb: 0.6170 0.6170 0.6170  3 Bi 3.04

Results
**Energy relative to the elements, uncorrected**: -0.01 eV/atom
**Density of states at the Fermi level**: 1.0 states/eV/cell
**E_tot**: -3.947 eV/atom
**Space-group type**: R3m (160)
**Volume**: 142 Å³/cell